An optimized crystal structure of Li2MgRe. Source: Alexandria, functional PBE.

Values from the calculation:
D(E_F) = 0.5423 states/eV per atom
E above lowest polymorph = 0.157 eV per atom
energy relative to the elements = 0.355 eV/atom

a = 9.5647 Å, b = 2.5875 Å, c = 5.2053 Å
α = 90.00°, β = 98.17°, γ = 90.00°
Space group Cm (No. 8)
Asymmetric unit:
Li (0.0000, 0.0000, 0.0000) (multiplicity 2)
Li (0.2484, 0.5000, 0.2425) (multiplicity 2)
Mg (0.4995, 0.0000, 0.5347) (multiplicity 2)
Re (0.2493, 0.0000, 0.7464) (multiplicity 2)